Record 1
First-principles (PBE-GGA) data for a geometry-optimized CoP3H structure, as listed in Alexandria.

Energy relative to the lowest polymorph listed for this composition in eV per atom: 0.098
Total energy in hartree per atom: -0.1965
Space group: Pmm2 (25)
Crystal system: orthorhombic

```
5
Lattice="-3.674 1.284 1.330 0.513 -1.511 2.875 2.036 4.014 1.747" Properties=species:S:1:pos:R:3 pbc="T T T"
Co 0.956 1.885 0.820
P -1.201 1.896 1.211
P 1.797 2.283 2.760
P 0.451 3.893 3.846
H 0.319 0.628 0.273
```

Record 2
First-principles (PBE-GGA) data for a geometry-optimized CoP3H structure, as listed in Alexandria.

Energy relative to the lowest polymorph listed for this composition in eV per atom: 0.129
Total energy in hartree per atom: -0.1953
Space group: P1 (1)
Crystal system: triclinic

```
5
Lattice="-0.471 -2.412 -3.186 -0.476 -2.516 3.291 -3.511 2.619 0.143" Properties=species:S:1:pos:R:3 pbc="T T T"
P -3.409 -0.643 1.000
P -0.765 -2.495 -1.765
P -2.185 -2.581 0.880
H -0.629 -0.401 0.056
Co -2.739 -1.505 -1.086
```

Record 3
First-principles (PBE-GGA) data for a geometry-optimized CoP3H structure, as listed in Alexandria.

Energy relative to the lowest polymorph listed for this composition in eV per atom: 0.104
Total energy in hartree per atom: -0.1962
Space group: P1 (1)
Crystal system: triclinic

```
5
Lattice="-1.505 -2.314 -2.413 2.867 -2.874 1.399 -3.861 -0.366 2.869" Properties=species:S:1:pos:R:3 pbc="T T T"
P -0.773 -2.330 -0.944
P 2.037 -3.014 0.705
P -3.961 -2.510 -0.288
Co 0.194 -4.058 0.005
H -2.004 -1.555 1.968
```

Record 4
First-principles (PBE-GGA) data for a geometry-optimized Co2P2H structure, as listed in Alexandria.

Energy relative to the lowest polymorph listed for this composition in eV per atom: 0.059
Total energy in hartree per atom: -0.2154
Space group: P1 (1)
Crystal system: triclinic

```
5
Lattice="3.799 0.020 0.011 1.671 3.489 0.004 0.845 0.625 4.113" Properties=species:S:1:pos:R:3 pbc="T T T"
P 5.398 3.462 2.580
P 2.697 2.603 0.423
Co 3.520 2.228 2.443
Co 2.850 0.349 0.546
H 2.547 1.579 3.590
```

Record 5
First-principles (PBE-GGA) data for a geometry-optimized Co2P2H structure, as listed in Alexandria.

Energy relative to the lowest polymorph listed for this composition in eV per atom: 0.087
Total energy in hartree per atom: -0.2144
Space group: C2 (5)
Crystal system: monoclinic

```
10
Lattice="-0.359 -0.107 -3.850 -6.424 -2.804 0.677 -1.517 3.526 0.213" Properties=species:S:1:pos:R:3 pbc="T T T"
P -5.149 -1.140 -2.315
P -5.718 0.634 -0.374
P -2.695 2.026 -2.548
P -1.748 0.273 -0.819
Co -3.621 1.558 -0.547
Co -7.023 0.127 -2.139
Co -3.053 -0.234 -2.584
Co -6.074 -1.607 -0.315
H -7.124 -1.015 0.777
H -3.153 -1.376 0.332
```

Record 6
First-principles (PBE-GGA) data for a geometry-optimized CoP3H structure, as listed in Alexandria.

Energy relative to the lowest polymorph listed for this composition in eV per atom: 0.098
Total energy in hartree per atom: -0.1965
Space group: P1 (1)
Crystal system: triclinic

```
5
Lattice="3.862 0.005 0.001 -0.387 3.870 -0.012 -0.896 -1.409 4.584" Properties=species:S:1:pos:R:3 pbc="T T T"
P -0.321 0.674 3.477
P 0.281 -0.280 1.502
P 2.953 1.009 0.192
Co 1.798 2.861 0.537
H 2.579 1.550 2.865
```

Which value of total energy does entry 3 give?
-0.1962 hartree per atom

The lowest total energy belongs to which entry?
number 4

Which of these has the lowest energy relative to the lowest polymorph listed for this composition?
number 4